CdAsPt2: relaxed, PBE.

Computed properties:
Distance to the lowest polymorph of the same formula: 243.4 meV/atom
Raw total energy: -17.99 eV per formula unit
Fermi-level density of states: 1.1 states/eV/cell
ρ: 13.90 g/cm³

a b c (Å): 4.6039 4.6039 4.6039
angles (deg): 60.00 60.00 60.00
Last column: nearest neighbours and their distance in Å.
Positions (direct):
As 0.0000 0.0000 0.0000  8 Pt 2.82
Pt 0.2500 0.2500 0.2500  4 Cd 2.82, 4 As 2.82
Pt 0.7500 0.7500 0.7500  4 Cd 2.82, 4 As 2.82
Cd 0.5000 0.5000 0.5000  8 Pt 2.82